The following is a DFT calculation (PBE-GGA) of a relaxed structure of YAlSiIr2.

Unit cell a=4.246 b=6.507 c=7.156 alpha=90.00 beta=90.00 gamma=109.04
Fractional coordinates of all 10 atoms:
Y  0.404  0.809  0.750
Y  0.596  0.191  0.250
Al  0.706  0.412  0.750
Al  0.294  0.588  0.250
Si  0.000  0.000  0.000
Si  0.000  0.000  0.500
Ir  0.178  0.356  0.950
Ir  0.822  0.644  0.050
Ir  0.178  0.356  0.550
Ir  0.822  0.644  0.450

Computed properties:
Its formation energy (no corrections) is -0.69 eV per atom.



The following is a DFT calculation (PBE-GGA) of a relaxed structure of Y2AlSiIr.

Unit cell a=5.362 b=4.430 c=5.362 alpha=90.00 beta=90.00 gamma=90.00
Fractional coordinates of all 5 atoms:
Y  0.000  0.000  0.500
Y  0.500  0.000  0.000
Si  0.500  0.500  0.500
Ir  0.000  0.500  0.000
Al  0.000  0.000  0.000

Computed properties:
Its formation energy (no corrections) is 0.30 eV per atom.



The following is a DFT calculation (PBE-GGA) of a relaxed structure of Zr2AlSi3Ir4.

Unit cell a=4.027 b=4.027 c=9.994 alpha=90.00 beta=90.00 gamma=90.00
Fractional coordinates of all 10 atoms:
Zr  0.500  0.000  0.245
Zr  0.000  0.500  0.755
Al  0.500  0.500  0.500
Si  0.000  0.000  0.500
Si  0.500  0.000  0.867
Si  0.000  0.500  0.133
Ir  0.500  0.500  0.000
Ir  0.000  0.000  0.000
Ir  0.500  0.000  0.638
Ir  0.000  0.500  0.362

Computed properties:
Its formation energy (no corrections) is -0.90 eV per atom.



The following is a DFT calculation (PBE-GGA) of a relaxed structure of SmAl6Ir.

Unit cell a=4.212 b=4.212 c=8.619 alpha=90.00 beta=90.00 gamma=90.00
Fractional coordinates of all 8 atoms:
Sm  0.000  0.000  0.000
Al  0.500  0.000  0.664
Al  0.000  0.500  0.664
Al  0.500  0.500  0.144
Al  0.500  0.500  0.856
Al  0.000  0.500  0.336
Al  0.500  0.000  0.336
Ir  0.000  0.000  0.500

Computed properties:
The formation energy comes out at -0.505 eV/atom.



The following is a DFT calculation (PBE-GGA) of a relaxed structure of SmAl4Ir2.

Unit cell a=4.297 b=6.616 c=17.317 alpha=90.00 beta=90.00 gamma=90.00
Fractional coordinates of all 28 atoms:
Ir  0.250  0.756  0.538
Ir  0.750  0.244  0.462
Ir  0.750  0.256  0.962
Ir  0.250  0.744  0.038
Ir  0.250  0.983  0.785
Ir  0.750  0.017  0.215
Ir  0.750  0.483  0.715
Ir  0.250  0.517  0.285
Al  0.250  0.283  0.693
Al  0.750  0.717  0.307
Al  0.750  0.783  0.807
Al  0.250  0.217  0.193
Al  0.250  0.686  0.688
Al  0.750  0.314  0.312
Al  0.750  0.186  0.812
Al  0.250  0.814  0.188
Al  0.250  0.156  0.532
Al  0.750  0.844  0.468
Al  0.750  0.656  0.968
Al  0.250  0.344  0.032
Al  0.250  0.495  0.430
Al  0.750  0.505  0.570
Al  0.750  0.995  0.070
Al  0.250  0.005  0.930
Sm  0.750  0.992  0.640
Sm  0.250  0.008  0.360
Sm  0.250  0.492  0.860
Sm  0.750  0.508  0.140

Computed properties:
The formation energy comes out at -0.789 eV/atom.



The following is a DFT calculation (PBE-GGA) of a relaxed structure of Sm8Al2Ir.

Unit cell a=5.124 b=6.770 c=9.706 alpha=103.44 beta=105.31 gamma=90.00
Fractional coordinates of all 11 atoms:
Sm  0.408  0.555  0.815
Sm  0.651  0.967  0.301
Sm  0.790  0.700  0.579
Sm  0.979  0.218  0.958
Sm  0.210  0.300  0.421
Sm  0.349  0.033  0.699
Sm  0.592  0.445  0.185
Sm  0.021  0.782  0.042
Al  0.813  0.259  0.627
Al  0.187  0.741  0.373
Ir  0.500  0.000  0.000

Computed properties:
The formation energy comes out at -0.276 eV/atom.



The following is a DFT calculation (PBE-GGA) of a relaxed structure of Sm3Al7Ir4.

Unit cell a=4.282 b=8.092 c=8.415 alpha=70.80 beta=75.26 gamma=74.66
Fractional coordinates of all 14 atoms:
Sm  0.308  0.185  0.199
Sm  0.692  0.815  0.801
Sm  0.000  0.500  0.500
Al  0.315  0.845  0.524
Al  0.495  0.220  0.790
Al  0.842  0.395  0.921
Al  0.685  0.155  0.476
Al  0.158  0.605  0.079
Al  0.000  0.000  0.000
Al  0.505  0.780  0.210
Ir  0.662  0.458  0.217
Ir  0.338  0.542  0.783
Ir  0.890  0.888  0.332
Ir  0.110  0.112  0.668

Computed properties:
The formation energy comes out at -0.803 eV/atom.



The following is a DFT calculation (PBE-GGA) of a relaxed structure of SmAlIr2.

Unit cell a=4.364 b=4.364 c=5.491 alpha=66.58 beta=66.58 gamma=60.00
Fractional coordinates of all 4 atoms:
Ir  0.299  0.299  0.104
Ir  0.701  0.701  0.896
Al  0.000  0.000  0.000
Sm  0.500  0.500  0.500

Computed properties:
The formation energy comes out at -0.590 eV/atom.



The following is a DFT calculation (PBE-GGA) of a relaxed structure of SmAlIr2.

Unit cell a=3.135 b=3.135 c=7.034 alpha=90.00 beta=90.00 gamma=90.00
Fractional coordinates of all 4 atoms:
Ir  0.000  0.000  0.794
Ir  0.000  0.000  0.206
Al  0.500  0.500  0.000
Sm  0.500  0.500  0.500

Computed properties:
The formation energy comes out at -0.667 eV/atom.



The following is a DFT calculation (PBE-GGA) of a relaxed structure of SmAl3Ir3.

Unit cell a=6.703 b=6.703 c=6.703 alpha=90.00 beta=90.00 gamma=90.00
Fractional coordinates of all 14 atoms:
Ir  0.250  0.000  0.500
Ir  0.000  0.500  0.250
Ir  0.500  0.750  0.000
Ir  0.750  0.000  0.500
Ir  0.000  0.500  0.750
Ir  0.500  0.250  0.000
Al  0.000  0.250  0.500
Al  0.000  0.750  0.500
Al  0.500  0.000  0.750
Al  0.750  0.500  0.000
Al  0.500  0.000  0.250
Al  0.250  0.500  0.000
Sm  0.500  0.500  0.500
Sm  0.000  0.000  0.000

Computed properties:
The formation energy comes out at -0.167 eV/atom.



The following is a DFT calculation (PBE-GGA) of a relaxed structure of Sm2Al9Ir3.

Unit cell a=7.587 b=7.587 c=9.560 alpha=90.00 beta=90.00 gamma=119.48
Fractional coordinates of all 28 atoms:
Sm  0.995  0.671  0.750
Sm  0.005  0.329  0.250
Sm  0.671  0.995  0.750
Sm  0.329  0.005  0.250
Al  0.130  0.130  0.750
Al  0.870  0.870  0.250
Al  0.002  0.335  0.574
Al  0.998  0.665  0.426
Al  0.998  0.665  0.074
Al  0.335  0.002  0.926
Al  0.002  0.335  0.926
Al  0.665  0.998  0.074
Al  0.665  0.998  0.426
Al  0.335  0.002  0.574
Al  0.334  0.334  0.049
Al  0.666  0.666  0.951
Al  0.666  0.666  0.549
Al  0.334  0.334  0.451
Al  0.340  0.548  0.750
Al  0.660  0.452  0.250
Al  0.548  0.340  0.750
Al  0.452  0.660  0.250
Ir  0.671  0.329  0.500
Ir  0.329  0.671  0.500
Ir  0.329  0.671  0.000
Ir  0.671  0.329  0.000
Ir  0.000  0.000  0.500
Ir  0.000  0.000  0.000

Computed properties:
The formation energy comes out at -0.858 eV/atom.



The following is a DFT calculation (PBE-GGA) of a relaxed structure of SmAl5Ir2.

Unit cell a=3.992 b=6.473 c=6.473 alpha=69.44 beta=72.32 gamma=72.32
Fractional coordinates of all 8 atoms:
Ir  0.757  0.744  0.744
Ir  0.243  0.256  0.256
Al  0.000  0.500  0.500
Al  0.655  0.535  0.155
Al  0.345  0.465  0.845
Al  0.345  0.845  0.465
Al  0.655  0.155  0.535
Sm  0.000  0.000  0.000

Computed properties:
The formation energy comes out at -0.751 eV/atom.